1.
A geometry-optimized PuThGaSn structure. Source: the Alexandria database, functional GGA-PBE.

a b c (Å): 5.2984 5.2984 5.2984
angles (deg): 60.00 60.00 60.00
Each line ends with the local moment (μB).
Positions (direct):
Ga (0.2500, 0.2500, 0.2500)  -0.02
Sn (0.7500, 0.7500, 0.7500)  -0.02
Th (0.0000, 0.0000, 0.0000)  0.18
Pu (0.5000, 0.5000, 0.5000)  5.42

Output
As for the crystal system: cubic. The formation energy comes out at -1.2 eV per formula unit. The calculation puts the volume at 26.29 Å³/atom.

***

2.
A geometry-optimized TmPuGaSn structure. Source: the Alexandria database, functional GGA-PBE.

a b c (Å): 5.1833 5.1833 5.1833
angles (deg): 60.00 60.00 60.00
Each line ends with the local moment (μB).
Positions (direct):
Tm (0.5000, 0.5000, 0.5000)  0.17
Sn (0.2500, 0.2500, 0.2500)  -0.03
Ga (0.7500, 0.7500, 0.7500)  -0.01
Pu (0.0000, 0.0000, 0.0000)  5.37

Output
As for the crystal system: cubic. The formation energy comes out at -1.6 eV per formula unit. The calculation puts the volume at 24.62 Å³/atom.

***

3.
A geometry-optimized SrPuGa2 structure. Source: the Alexandria database, functional GGA-PBE.

a b c (Å): 3.6723 3.6723 9.8161
angles (deg): 79.22 79.22 60.00
Each line ends with the local moment (μB).
Positions (direct):
Sr (0.5000, 0.5000, 0.5000)  0.01
Ga (0.2537, 0.2537, 0.2389)  0.00
Ga (0.7463, 0.7463, 0.7611)  0.00
Pu (0.0000, 0.0000, 0.0000)  5.42

Output
As for the crystal system: trigonal. The formation energy comes out at -0.1 eV per formula unit. The calculation puts the volume at 27.98 Å³/atom.

***

4.
A geometry-optimized SrPuGa2 structure. Source: the Alexandria database, functional GGA-PBE.

a b c (Å): 3.7060 3.7060 7.5864
angles (deg): 90.00 90.00 90.00
Each line ends with the local moment (μB).
Positions (direct):
Sr (0.5000, 0.5000, 0.5000)  0.00
Ga (0.0000, 0.0000, 0.7794)  -0.01
Ga (0.0000, 0.0000, 0.2206)  -0.01
Pu (0.5000, 0.5000, 0.0000)  5.37

Output
As for the crystal system: tetragonal. The formation energy comes out at -1.1 eV per formula unit. The calculation puts the volume at 26.05 Å³/atom.

***

5.
A geometry-optimized SrPu2Ga6 structure. Source: the Alexandria database, functional GGA-PBE.

a b c (Å): 3.5627 7.9557 7.9550
angles (deg): 120.00 90.00 90.00
Each line ends with the local moment (μB).
Positions (direct):
Sr (0.0000, 0.0000, 0.0000)  0.05
Pu (0.0000, 0.3333, 0.6667)  5.39
Pu (0.0000, 0.6667, 0.3333)  5.39
Ga (0.5000, 0.3382, 0.3382)  0.01
Ga (0.5000, 0.6618, 0.6618)  0.01
Ga (0.5000, 0.0000, 0.6618)  0.01
Ga (0.5000, 0.6618, 0.0000)  0.01
Ga (0.5000, 0.3382, 0.0000)  0.01
Ga (0.5000, 0.0000, 0.3382)  0.01

Output
As for the crystal system: hexagonal. The formation energy comes out at -3.2 eV per formula unit. The calculation puts the volume at 21.70 Å³/atom.

***

6.
A geometry-optimized Sr2PuGaTe5 structure. Source: the Alexandria database, functional GGA-PBE.

a b c (Å): 4.4350 10.3677 13.6822
angles (deg): 90.00 90.00 102.35
Each line ends with the local moment (μB).
Positions (direct):
Sr (0.8787, 0.7574, 0.8236)  0.00
Sr (0.1193, 0.2385, 0.6821)  0.00
Sr (0.1213, 0.2426, 0.3236)  0.00
Sr (0.8807, 0.7615, 0.1821)  0.00
Pu (0.7957, 0.5915, 0.5216)  5.20
Pu (0.2043, 0.4085, 0.0216)  5.20
Ga (0.5628, 0.1256, 0.9363)  0.00
Ga (0.4372, 0.8744, 0.4363)  0.00
Te (0.3566, 0.7131, 0.0048)  -0.04
Te (0.6871, 0.3742, 0.8595)  -0.06
Te (0.5006, 0.0013, 0.7688)  -0.01
Te (0.2953, 0.5906, 0.6777)  -0.09
Te (0.9539, 0.9079, 0.5496)  -0.04
Te (0.6434, 0.2869, 0.5048)  -0.04
Te (0.3129, 0.6258, 0.3595)  -0.06
Te (0.4994, 0.9987, 0.2688)  -0.01
Te (0.7047, 0.4094, 0.1777)  -0.09
Te (0.0461, 0.0921, 0.0496)  -0.04

Output
As for the crystal system: orthorhombic. Its raw formation energy is -10.05 eV/f.u. The calculation puts the volume at 34.14 Å³/atom.

***

7.
A geometry-optimized SrPuZnGa structure. Source: the Alexandria database, functional GGA-PBE.

a b c (Å): 5.2811 5.2811 5.2811
angles (deg): 60.00 60.00 60.00
Each line ends with the local moment (μB).
Positions (direct):
Sr (0.5000, 0.5000, 0.5000)  0.01
Zn (0.2500, 0.2500, 0.2500)  0.02
Ga (0.7500, 0.7500, 0.7500)  -0.03
Pu (0.0000, 0.0000, 0.0000)  5.41

Output
As for the crystal system: cubic. The formation energy comes out at -0.5 eV per formula unit. The calculation puts the volume at 26.04 Å³/atom.

***

8.
A geometry-optimized Pu2TaGa structure. Source: the Alexandria database, functional GGA-PBE.

a b c (Å): 4.9573 4.9573 4.9580
angles (deg): 60.00 60.00 60.00
Each line ends with the local moment (μB).
Positions (direct):
Ta (0.5000, 0.5000, 0.5000)  -0.31
Ga (0.0000, 0.0000, 0.0000)  0.01
Pu (0.2500, 0.2500, 0.2501)  4.96
Pu (0.7500, 0.7500, 0.7499)  4.96

Output
As for the crystal system: cubic. The formation energy comes out at 1.0 eV per formula unit. For the energy relative to the lowest polymorph listed for this composition, the calculation gives 85 meV/atom. The calculation puts the volume at 21.54 Å³/atom.